[1]
Here is a relaxed structure of CaTl2SnCl6 from the Alexandria database. Energies are from GGA-PBE.

abc: 7.6739 7.6731 7.7462
angles: 60.28 60.28 59.98
Sites, in units of the cell vectors:
Cl 0.0830 0.4889 0.7711
Cl 0.5958 0.1512 0.2776
Cl 0.6571 0.0829 0.7711
Cl 0.1512 0.9754 0.2774
Cl 0.9754 0.5958 0.2776
Cl 0.4889 0.6571 0.7709
Tl 0.5374 0.5374 0.3879
Tl 0.0380 0.0380 0.8861
Ca 0.8176 0.8176 0.5473
Sn 0.3172 0.3172 0.0483

Properties
Energy relative to the elements, uncorrected in meV/atom: -1429
Space-group type: R3, No. 146

***

[2]
Here is a relaxed structure of ScCu2Tc from the Alexandria database. Energies are from GGA-PBE.

abc: 9.1406 9.1406 9.1406
angles: 17.48 17.48 17.48
Sites, in units of the cell vectors:
Sc 0.2500 0.2500 0.2500
Tc 0.7500 0.7500 0.7500
Cu 0.0035 0.0035 0.0035
Cu 0.4965 0.4965 0.4965

Properties
ΔH_f (0 K) in eV/atom: 0.332
Space-group type: R-3m, No. 166

***

[3]
Here is a relaxed structure of InCoW2 from the Alexandria database. Energies are from GGA-PBE.

abc: 4.4802 4.4802 4.4802
angles: 60.00 60.00 60.00
Sites, in units of the cell vectors:
In 0.7500 0.7500 0.7500
Co 0.5000 0.5000 0.5000
W 0.0000 0.0000 0.0000
W 0.2500 0.2500 0.2500

Properties
ΔH_f (0 K) in eV/atom: 0.486
Space-group type: F-43m, No. 216

***

[4]
Here is a relaxed structure of Nd4Tm3Sc2 from the Alexandria database. Energies are from GGA-PBE.

abc: 5.8925 10.0983 10.0983
angles: 70.11 83.31 83.31
Sites, in units of the cell vectors:
Tm 0.2500 0.3889 0.6111
Tm 0.9246 0.0315 0.3208
Tm 0.5754 0.6792 0.9685
Tm 0.0754 0.9685 0.6792
Tm 0.7500 0.6111 0.3889
Tm 0.4246 0.3208 0.0315
Nd 0.1176 0.6073 0.8221
Nd 0.6176 0.8221 0.6073
Nd 0.8824 0.3927 0.1779
Nd 0.3824 0.1779 0.3927
Nd 0.0287 0.8187 0.0550
Nd 0.4713 0.9450 0.1813
Nd 0.9713 0.1813 0.9450
Nd 0.5287 0.0550 0.8187
Sc 0.6913 0.4724 0.7321
Sc 0.1913 0.7321 0.4724
Sc 0.8087 0.2679 0.5276
Sc 0.3087 0.5276 0.2679

Properties
ΔH_f (0 K) in eV/atom: 0.103
Space-group type: C2/c, No. 15

***

[5]
Here is a relaxed structure of SmAsI from the Alexandria database. Energies are from GGA-PBE.

abc: 3.9786 3.9786 6.2801
angles: 108.47 108.47 90.00
Sites, in units of the cell vectors:
I 0.0096 0.0096 0.0193
As 0.2864 0.2864 0.5727
Sm 0.7040 0.7040 0.4080

Properties
Energy relative to the elements, uncorrected in meV/atom: -834
Space-group type: I4mm, No. 107

***

[6]
Here is a relaxed structure of La2Tb6PmTm from the Alexandria database. Energies are from GGA-PBE.

abc: 9.9027 8.7864 8.7864
angles: 117.80 95.14 95.14
Sites, in units of the cell vectors:
Tm 0.7500 0.5948 0.4052
Tm 0.2500 0.4052 0.5948
Tb 0.3812 0.5092 0.2986
Tb 0.5570 0.7356 0.1203
Tb 0.0570 0.1203 0.7356
Tb 0.3109 0.9806 0.4227
Tb 0.1188 0.7014 0.4908
Tb 0.1891 0.5773 0.0194
Tb 0.9430 0.8797 0.2644
Tb 0.4430 0.2644 0.8797
Tb 0.8109 0.4227 0.9806
Tb 0.8812 0.2986 0.5092
Tb 0.6891 0.0194 0.5773
Tb 0.6188 0.4908 0.7014
Pm 0.7500 0.0129 0.9871
Pm 0.2500 0.9871 0.0129
La 0.9579 0.7088 0.8058
La 0.4579 0.8058 0.7088
La 0.5421 0.1942 0.2912
La 0.0421 0.2912 0.1942

Properties
ΔH_f (0 K) in eV/atom: 0.116
Space-group type: C2/c, No. 15

***

[7]
Here is a relaxed structure of KBSeN2 from the Alexandria database. Energies are from GGA-PBE.

abc: 3.8934 3.8934 4.4969
angles: 90.00 90.00 90.00
Sites, in units of the cell vectors:
N 0.5000 0.0000 0.0000
N 0.0000 0.5000 0.0000
B 0.0000 0.0000 0.0000
Se 0.0000 0.0000 0.5000
K 0.5000 0.5000 0.5000

Properties
Energy relative to the elements, uncorrected in meV/atom: 1564
Space-group type: P4/mmm, No. 123

***

[8]
Here is a relaxed structure of LiHNO2 from the Alexandria database. Energies are from GGA-PBE.

abc: 3.0521 3.0521 4.4200
angles: 90.00 90.00 90.00
Sites, in units of the cell vectors:
H 0.0000 0.0000 0.0000
O 0.0000 0.5000 0.0000
O 0.5000 0.0000 0.0000
N 0.0000 0.0000 0.5000
Li 0.5000 0.5000 0.5000

Properties
Total energy in eV/atom: -3.675
Space-group type: P4/mmm, No. 123

***

[9]
Here is a relaxed structure of TaTe2AsN from the Alexandria database. Energies are from GGA-PBE.

abc: 5.5306 5.5306 3.8954
angles: 90.00 90.00 90.00
Sites, in units of the cell vectors:
N 0.0000 0.0000 0.5000
Te 0.5000 0.0000 0.0000
Te 0.0000 0.5000 0.0000
Ta 0.0000 0.0000 0.0000
As 0.5000 0.5000 0.5000

Properties
Energy relative to the elements, uncorrected in meV/atom: 298
Space-group type: P4/mmm, No. 123

***

[10]
Here is a relaxed structure of NdNiAgHg from the Alexandria database. Energies are from GGA-PBE.

abc: 4.8954 4.8954 4.8954
angles: 60.00 60.00 60.00
Sites, in units of the cell vectors:
Hg 0.0000 0.0000 0.0000
Ni 0.7500 0.7500 0.7500
Nd 0.5000 0.5000 0.5000
Ag 0.2500 0.2500 0.2500

Properties
ΔH_f (0 K) in eV/atom: -0.137
Space-group type: F-43m, No. 216

***

[11]
Here is a relaxed structure of Pr4Sn2Br3 from the Alexandria database. Energies are from GGA-PBE.

abc: 4.5042 4.5042 17.9461
angles: 90.01 89.99 120.00
Sites, in units of the cell vectors:
Pr 0.3334 0.6666 0.8943
Pr 0.6666 0.3334 0.1057
Pr 0.0002 0.9998 0.6972
Pr 0.9998 0.0002 0.3028
Br 0.3335 0.6665 0.6023
Br 0.6665 0.3335 0.3977
Br 0.0000 0.0000 0.0000
Sn 0.3332 0.6668 0.2018
Sn 0.6668 0.3332 0.7982

Properties
Energy relative to the elements, uncorrected in meV/atom: -1204
Space-group type: P-3m1, No. 164

***

[12]
Here is a relaxed structure of TaGaSiOsPb from the Alexandria database. Energies are from GGA-PBE.

abc: 3.1409 3.8038 15.0249
angles: 90.00 90.00 90.00
Sites, in units of the cell vectors:
Pb 0.5000 0.0000 0.5345
Pb 0.5000 0.5000 0.0345
Os 0.5000 0.5000 0.8346
Os 0.5000 0.0000 0.3346
Ta 0.0000 0.5000 0.6689
Ta 0.0000 0.0000 0.1689
Ga 0.0000 0.5000 0.3909
Ga 0.0000 0.0000 0.8909
Si 0.5000 0.5000 0.2328
Si 0.5000 0.0000 0.7328

Properties
Energy relative to the elements, uncorrected in meV/atom: 12
Space-group type: Amm2, No. 38

***

[13]
Here is a relaxed structure of NaTcO3 from the Alexandria database. Energies are from GGA-PBE.

abc: 3.8989 3.8989 9.2840
angles: 77.88 77.88 90.00
Sites, in units of the cell vectors:
O 0.3124 0.3124 0.3752
O 0.6876 0.6876 0.6248
O 0.1073 0.7845 0.7854
O 0.2155 0.8927 0.2146
O 0.1073 0.4301 0.7854
O 0.5699 0.8927 0.2146
Na 0.0000 0.0000 0.0000
Na 0.2500 0.7500 0.5000
Tc 0.8160 0.3160 0.3679
Tc 0.6840 0.1840 0.6321

Properties
Energy relative to the elements, uncorrected in meV/atom: -396
Space-group type: I-4m2, No. 119

***

[14]
Here is a relaxed structure of Ac3Gd from the Alexandria database. Energies are from GGA-PBE.

abc: 3.7947 3.7873 12.1275
angles: 90.00 90.00 90.00
Sites, in units of the cell vectors:
Ac 0.0000 0.5000 0.4687
Ac 0.5000 0.0000 0.7093
Ac 0.5000 0.5000 0.1852
Gd 0.0000 0.0000 0.9702

Properties
ΔH_f (0 K) in eV/atom: 0.211
Space-group type: Pmm2, No. 25

***

[15]
Here is a relaxed structure of LaPm4Sm3 from the Alexandria database. Energies are from GGA-PBE.

abc: 3.5185 6.9336 12.0968
angles: 106.60 98.36 90.00
Sites, in units of the cell vectors:
Pm 0.7413 0.2408 0.4826
Pm 0.2587 0.7592 0.5174
Pm 0.8746 0.6291 0.7493
Pm 0.1254 0.3709 0.2507
Sm 0.1256 0.8815 0.2511
Sm 0.0000 0.5000 0.0000
Sm 0.8744 0.1185 0.7489
La 0.5000 0.0000 0.0000

Properties
ΔH_f (0 K) in eV/atom: 0.155
Space-group type: C2/m, No. 12

***

[16]
Here is a relaxed structure of Ti6Fe2Pt from the Alexandria database. Energies are from GGA-PBE.

abc: 7.1331 7.1331 7.1331
angles: 106.96 110.84 110.64
Sites, in units of the cell vectors:
Ti 0.5207 0.7051 0.8157
Ti 0.1106 0.2949 0.8157
Ti 0.2847 0.6115 0.3268
Ti 0.4793 0.2949 0.1843
Ti 0.2847 0.9580 0.6732
Ti 0.7153 0.3885 0.6732
Ti 0.7153 0.0420 0.3268
Ti 0.2070 0.2361 0.4432
Ti 0.7930 0.7639 0.5568
Ti 0.7930 0.2361 0.0291
Ti 0.2070 0.7639 0.9709
Ti 0.8894 0.7051 0.1843
Pt 0.0000 0.5000 0.5000
Pt 0.0000 0.0000 0.0000
Fe 0.3488 0.0000 0.3488
Fe 0.5000 0.3519 0.8519
Fe 0.6512 0.0000 0.6512
Fe 0.5000 0.6481 0.1481

Properties
ΔH_f (0 K) in eV/atom: -0.347
Space-group type: Immm, No. 71

***

[17]
Here is a relaxed structure of BaTaHg4 from the Alexandria database. Energies are from GGA-PBE.

abc: 6.0501 6.0501 6.0501
angles: 60.00 60.00 60.00
Sites, in units of the cell vectors:
Hg 0.8725 0.3758 0.3758
Hg 0.3758 0.8725 0.3758
Hg 0.3758 0.3758 0.8725
Hg 0.3758 0.3758 0.3758
Ba 0.0000 0.0000 0.0000
Ta 0.7500 0.7500 0.7500

Properties
ΔH_f (0 K) in eV/atom: 0.423
Space-group type: F-43m, No. 216

***

[18]
Here is a relaxed structure of CrPd3Se from the Alexandria database. Energies are from GGA-PBE.

abc: 4.6700 4.6700 4.6700
angles: 90.00 90.00 90.00
Sites, in units of the cell vectors:
Se 0.0000 0.0000 0.0000
Pd 0.0000 0.5000 0.0000
Pd 0.0000 0.0000 0.5000
Pd 0.5000 0.0000 0.0000
Cr 0.5000 0.5000 0.5000

Properties
Energy relative to the elements, uncorrected in meV/atom: 331
Space-group type: Pm-3m, No. 221